[1]
The following is a PBE-GGA calculation of an optimized crystal structure of TaCrAg2, from Alexandria via LeMat-Bulk.

Cell and atoms, written as POSCAR:
```
TaCrAg2
1.0
5.017 -1.454 0.000
5.017 1.454 0.000
-0.976 0.000 4.603
Ta Cr Ag
1 1 2
Direct
0.000 0.000 0.000
0.500 0.500 0.500
0.245 0.245 0.747
0.755 0.755 0.253
```

Output
For the formation energy, the calculation gives 1.87 eV/f.u. For the distance to the lowest polymorph of the same formula, the calculation gives 158.9 meV/atom. As for the total magnetization: 2.30 Bohr magnetons per cell. The raw total energy is -0.233 Ha/atom.

[2]
The following is a PBE-GGA calculation of an optimized crystal structure of Mg2ScReH, from Alexandria via LeMat-Bulk.

Cell and atoms, written as POSCAR:
```
Mg2ScReH
1.0
4.131 0.000 0.000
0.000 4.131 0.000
0.000 0.000 4.355
Mg Sc Re H
2 1 1 1
Direct
0.000 0.500 0.000
0.500 0.000 0.000
0.000 0.000 0.500
0.500 0.500 0.500
0.000 0.000 0.000
```

Output
As for the total magnetization: 0.52 Bohr magnetons per cell. The raw total energy is -0.182 Ha/atom.